# 1
First-principles (PBE-GGA) data for a relaxed MgTe3S crystal, as listed in Alexandria via LeMat-Bulk.

```
data_MgTe3S
_space_group_name_H-M_alt 'P m -3 m'
_space_group_IT_number 221
_space_group_name_Hall '-P 4 2 3'
_cell_length_a 5.271
_cell_length_b 5.271
_cell_length_c 5.271
_cell_angle_alpha 90.00
_cell_angle_beta 90.00
_cell_angle_gamma 90.00
loop_
_atom_site_label
_atom_site_fract_x
_atom_site_fract_y
_atom_site_fract_z
_atom_site_occupancy
Mg1 0.000 0.000 0.000 1
Te1 0.000 0.500 0.500 1
S1 0.500 0.500 0.500 1
```

Relative energy among the computed polymorphs in meV/atom: 0
Magnetization in μB/cell: 0.00
Uncorrected formation energy in meV/atom: 277



# 2
First-principles (PBE-GGA) data for a relaxed TaNb2CoH crystal, as listed in Alexandria via LeMat-Bulk.

```
data_TaNb2CoH
_space_group_name_H-M_alt 'P 4/m m m'
_space_group_IT_number 123
_space_group_name_Hall '-P 4 2'
_cell_length_a 4.406
_cell_length_b 4.406
_cell_length_c 3.458
_cell_angle_alpha 90.00
_cell_angle_beta 90.00
_cell_angle_gamma 90.00
loop_
_atom_site_label
_atom_site_fract_x
_atom_site_fract_y
_atom_site_fract_z
_atom_site_occupancy
Ta1 0.000 0.000 0.000 1
Nb1 0.000 0.500 0.500 1
Co1 0.500 0.500 0.000 1
H1 0.500 0.500 0.500 1
```

Relative energy among the computed polymorphs in meV/atom: 0
Magnetization in μB/cell: 0.06



# 3
First-principles (PBE-GGA) data for a relaxed KRu3Se crystal, as listed in Alexandria via LeMat-Bulk.

```
data_KRu3Se
_space_group_name_H-M_alt 'P m -3 m'
_space_group_IT_number 221
_space_group_name_Hall '-P 4 2 3'
_cell_length_a 4.679
_cell_length_b 4.679
_cell_length_c 4.679
_cell_angle_alpha 90.00
_cell_angle_beta 90.00
_cell_angle_gamma 90.00
loop_
_atom_site_label
_atom_site_fract_x
_atom_site_fract_y
_atom_site_fract_z
_atom_site_occupancy
K1 0.000 0.000 0.000 1
Ru1 0.000 0.500 0.500 1
Se1 0.500 0.500 0.500 1
```

Relative energy among the computed polymorphs in meV/atom: 0
Magnetization in μB/cell: 2.49
Uncorrected formation energy in meV/atom: 1026



# 4
First-principles (PBE-GGA) data for a relaxed NdThBiAu crystal, as listed in Alexandria via LeMat-Bulk.

```
data_NdThBiAu
_space_group_name_H-M_alt 'F -4 3 m'
_space_group_IT_number 216
_space_group_name_Hall 'F -4 2 3'
_cell_length_a 7.685
_cell_length_b 7.685
_cell_length_c 7.685
_cell_angle_alpha 90.00
_cell_angle_beta 90.00
_cell_angle_gamma 90.00
loop_
_atom_site_label
_atom_site_fract_x
_atom_site_fract_y
_atom_site_fract_z
_atom_site_occupancy
Nd1 0.000 0.000 0.000 1
Th1 0.000 0.000 0.500 1
Bi1 0.250 0.250 0.250 1
Au1 0.250 0.250 0.750 1
```

DFT total energy in eV per cell: -86.05
Magnetization in μB/cell: 0.00



# 5
First-principles (PBE-GGA) data for a relaxed Tb3Pr4Y4 crystal, as listed in Alexandria via LeMat-Bulk.

```
data_Tb3Pr4Y4
_space_group_name_H-M_alt 'A m m 2'
_space_group_IT_number 38
_cell_length_a 10.754
_cell_length_b 5.746
_cell_length_c 12.164
_cell_angle_alpha 90.00
_cell_angle_beta 90.00
_cell_angle_gamma 90.00
loop_
_space_group_symop_operation_xyz
'x,y,z'
'-x,-y,z'
'-x,y,z'
'x,-y,z'
'x,y+1/2,z+1/2'
'-x,-y+1/2,z+1/2'
'-x,y+1/2,z+1/2'
'x,-y+1/2,z+1/2'
loop_
_atom_site_label
_atom_site_fract_x
_atom_site_fract_y
_atom_site_fract_z
_atom_site_occupancy
Tb1 0.000 0.000 0.000 1
Tb2 0.290 0.000 0.154 1
Pr1 0.000 0.000 0.706 1
Pr2 0.207 0.000 0.505 1
Pr3 0.500 0.000 0.626 1
Y1 0.000 0.000 0.299 1
Y2 0.301 0.000 0.848 1
Y3 0.500 0.000 0.354 1
```

Relative energy among the computed polymorphs in meV/atom: 22
Magnetization in μB/cell: 0.00



# 6
First-principles (PBE-GGA) data for a relaxed CrSnIr2 crystal, as listed in Alexandria via LeMat-Bulk.

```
data_CrSnIr2
_space_group_name_H-M_alt 'P 4/m m m'
_space_group_IT_number 123
_space_group_name_Hall '-P 4 2'
_cell_length_a 4.137
_cell_length_b 4.137
_cell_length_c 3.684
_cell_angle_alpha 90.00
_cell_angle_beta 90.00
_cell_angle_gamma 90.00
loop_
_atom_site_label
_atom_site_fract_x
_atom_site_fract_y
_atom_site_fract_z
_atom_site_occupancy
Cr1 0.000 0.000 0.000 1
Sn1 0.500 0.500 0.000 1
Ir1 0.000 0.500 0.500 1
```

DFT total energy in eV per cell: -31.66
Magnetization in μB/cell: 3.33



# 7
First-principles (PBE-GGA) data for a relaxed Hg2Bi2Pb crystal, as listed in Alexandria via LeMat-Bulk.

```
data_Hg2Bi2Pb
_space_group_name_H-M_alt 'P 4/m b m'
_space_group_IT_number 127
_space_group_name_Hall '-P 4 2ab'
_cell_length_a 9.214
_cell_length_b 9.214
_cell_length_c 3.538
_cell_angle_alpha 90.00
_cell_angle_beta 90.00
_cell_angle_gamma 90.00
loop_
_atom_site_label
_atom_site_fract_x
_atom_site_fract_y
_atom_site_fract_z
_atom_site_occupancy
Hg1 0.125 0.375 0.000 1
Bi1 0.176 0.676 0.500 1
Pb1 0.000 0.000 0.500 1
```

Relative energy among the computed polymorphs in meV/atom: 51
Magnetization in μB/cell: 0.00



# 8
First-principles (PBE-GGA) data for a relaxed LaAlO3 crystal, as listed in Alexandria via LeMat-Bulk.

```
data_LaAlO3
_space_group_name_H-M_alt 'C 1 2/c 1'
_space_group_IT_number 15
_cell_length_a 10.424
_cell_length_b 9.959
_cell_length_c 5.858
_cell_angle_alpha 90.00
_cell_angle_beta 104.53
_cell_angle_gamma 90.00
loop_
_space_group_symop_operation_xyz
'x,y,z'
'-x,-y,-z'
'-x,y,-z+1/2'
'x,-y,z+1/2'
'x+1/2,y+1/2,z'
'-x+1/2,-y+1/2,-z'
'-x+1/2,y+1/2,-z+1/2'
'x+1/2,-y+1/2,z+1/2'
loop_
_atom_site_label
_atom_site_fract_x
_atom_site_fract_y
_atom_site_fract_z
_atom_site_occupancy
La1 0.000 0.099 0.250 1
La2 0.000 0.324 0.750 1
Al1 0.208 0.410 0.260 1
O1 0.118 0.112 0.657 1
O2 0.122 0.266 0.134 1
O3 0.154 0.472 0.513 1
```

Magnetization in μB/cell: 0.00
Uncorrected formation energy in meV/atom: -3227



# 9
First-principles (PBE-GGA) data for a relaxed LiSmHgGe crystal, as listed in Alexandria via LeMat-Bulk.

```
data_LiSmHgGe
_space_group_name_H-M_alt 'F -4 3 m'
_space_group_IT_number 216
_space_group_name_Hall 'F -4 2 3'
_cell_length_a 7.095
_cell_length_b 7.095
_cell_length_c 7.095
_cell_angle_alpha 90.00
_cell_angle_beta 90.00
_cell_angle_gamma 90.00
loop_
_atom_site_label
_atom_site_fract_x
_atom_site_fract_y
_atom_site_fract_z
_atom_site_occupancy
Li1 0.000 0.000 0.000 1
Sm1 0.000 0.000 0.500 1
Hg1 0.250 0.250 0.750 1
Ge1 0.250 0.250 0.250 1
```

DFT total energy in eV per cell: -54.24
Magnetization in μB/cell: 0.00



# 10
First-principles (PBE-GGA) data for a relaxed PuCd2Ag2 crystal, as listed in Alexandria via LeMat-Bulk.

```
data_PuCd2Ag2
_space_group_name_H-M_alt 'P -1'
_space_group_IT_number 2
_cell_length_a 5.535
_cell_length_b 6.039
_cell_length_c 7.434
_cell_angle_alpha 83.23
_cell_angle_beta 71.65
_cell_angle_gamma 78.68
loop_
_space_group_symop_operation_xyz
'x,y,z'
'-x,-y,-z'
loop_
_atom_site_label
_atom_site_fract_x
_atom_site_fract_y
_atom_site_fract_z
_atom_site_occupancy
Pu1 0.227 0.089 0.186 1
Cd1 0.226 0.275 0.747 1
Cd2 0.254 0.559 0.369 1
Ag1 0.263 0.626 0.972 1
Ag2 0.356 0.837 0.605 1
```

Relative energy among the computed polymorphs in meV/atom: 60
Magnetization in μB/cell: 12.03



# 11
First-principles (PBE-GGA) data for a relaxed Th2NbTe crystal, as listed in Alexandria via LeMat-Bulk.

```
data_Th2NbTe
_space_group_name_H-M_alt 'R -3 m'
_space_group_IT_number 166
_space_group_name_Hall '-R 3 2"'
_cell_length_a 3.4335
_cell_length_b 3.4335
_cell_length_c 33.3014
_cell_angle_alpha 90.00
_cell_angle_beta 90.00
_cell_angle_gamma 120.00
loop_
_atom_site_label
_atom_site_fract_x
_atom_site_fract_y
_atom_site_fract_z
_atom_site_occupancy
Th1 0.0000 0.0000 0.0877 1
Nb1 0.0000 0.0000 0.0000 1
Te1 0.0000 0.0000 0.5000 1
```

Magnetization in μB/cell: 0.00
Uncorrected formation energy in meV/atom: 311



# 12
First-principles (PBE-GGA) data for a relaxed RbS3I crystal, as listed in Alexandria via LeMat-Bulk.

```
data_RbS3I
_space_group_name_H-M_alt 'P m -3 m'
_space_group_IT_number 221
_space_group_name_Hall '-P 4 2 3'
_cell_length_a 5.233
_cell_length_b 5.233
_cell_length_c 5.233
_cell_angle_alpha 90.00
_cell_angle_beta 90.00
_cell_angle_gamma 90.00
loop_
_atom_site_label
_atom_site_fract_x
_atom_site_fract_y
_atom_site_fract_z
_atom_site_occupancy
Rb1 0.000 0.000 0.000 1
S1 0.000 0.500 0.500 1
I1 0.500 0.500 0.500 1
```

Relative energy among the computed polymorphs in meV/atom: 581
Magnetization in μB/cell: 0.00
Uncorrected formation energy in meV/atom: 163